Compound: Li4Ni3O6F
Source: Alexandria
Functional: PBEsol
Structure: optimized geometry

```
data_Li4Ni3O6F
_chemical_formula_sum 'Li8 Ni6 O12 F2'
_space_group_name_H-M_alt 'C 1 2/m 1'
_space_group_IT_number 12
_cell_length_a 8.971
_cell_length_b 4.066
_cell_length_c 6.218
_cell_angle_alpha 90.00
_cell_angle_beta 97.77
_cell_angle_gamma 90.00
loop_
_space_group_symop_operation_xyz
'x,y,z'
'-x,-y,-z'
'-x,y,-z'
'x,-y,z'
'x+1/2,y+1/2,z'
'-x+1/2,-y+1/2,-z'
'-x+1/2,y+1/2,-z'
'x+1/2,-y+1/2,z'
loop_
_atom_site_label
_atom_site_type_symbol
_atom_site_fract_x
_atom_site_fract_y
_atom_site_fract_z
_atom_site_occupancy
Li1 Li 0.076 0.000 0.212 1
Li2 Li 0.220 0.000 0.643 1
Ni1 Ni 0.000 0.500 0.500 1
Ni2 Ni 0.142 0.500 0.929 1
O1 O 0.058 0.500 0.203 1
O2 O 0.159 0.000 0.939 1
O3 O 0.195 0.500 0.646 1
F1 F 0.000 0.000 0.500 1
```

* N(E_F): 6.251 states/eV/cell

=====

Compound: Li8NiO5F
Source: Alexandria
Functional: PBEsol
Structure: optimized geometry

```
data_Li8NiO5F
_chemical_formula_sum 'Li16 Ni2 O10 F2'
_space_group_name_H-M_alt 'P 63'
_space_group_IT_number 173
_cell_length_a 5.4790
_cell_length_b 5.4790
_cell_length_c 10.7636
_cell_angle_alpha 90.00
_cell_angle_beta 90.00
_cell_angle_gamma 120.00
loop_
_space_group_symop_operation_xyz
'x,y,z'
'x-y,x,z+1/2'
'-y,x-y,z'
'-x,-y,z+1/2'
'-x+y,-x,z'
'y,-x+y,z+1/2'
loop_
_atom_site_label
_atom_site_type_symbol
_atom_site_fract_x
_atom_site_fract_y
_atom_site_fract_z
_atom_site_occupancy
Li1 Li 0.0168 0.3773 0.0000 1
Li2 Li 0.0209 0.7083 0.8488 1
Li3 Li 0.3333 0.6667 0.1905 1
Li4 Li 0.3333 0.6667 0.7068 1
Ni1 Ni 0.0000 0.0000 0.1337 1
O1 O 0.0000 0.0000 0.4499 1
O2 O 0.0010 0.3241 0.1736 1
O3 O 0.3333 0.6667 0.9088 1
F1 F 0.3333 0.6667 0.4141 1
```

* energy relative to the lowest polymorph listed for this composition: 10 meV/atom

=====

Compound: Li7NiO4F2
Source: Alexandria
Functional: PBEsol
Structure: optimized geometry

```
data_Li7NiO4F2
_chemical_formula_sum 'Li14 Ni2 O8 F4'
_space_group_name_H-M_alt 'P 1'
_space_group_IT_number 1
_cell_length_a 5.191
_cell_length_b 5.659
_cell_length_c 9.622
_cell_angle_alpha 76.49
_cell_angle_beta 85.19
_cell_angle_gamma 65.92
loop_
_space_group_symop_operation_xyz
'x,y,z'
loop_
_atom_site_label
_atom_site_type_symbol
_atom_site_fract_x
_atom_site_fract_y
_atom_site_fract_z
_atom_site_occupancy
Li1 Li 0.000 0.000 0.000 1
Li2 Li 0.001 0.071 0.332 1
Li3 Li 0.005 0.664 0.230 1
Li4 Li 0.011 0.693 0.863 1
Li5 Li 0.017 0.946 0.636 1
Li6 Li 0.024 0.358 0.092 1
Li7 Li 0.080 0.521 0.533 1
Li8 Li 0.467 0.061 0.454 1
Li9 Li 0.501 0.949 0.174 1
Li10 Li 0.508 0.715 0.692 1
Li11 Li 0.510 0.324 0.892 1
Li12 Li 0.522 0.738 0.979 1
Li13 Li 0.539 0.234 0.667 1
Li14 Li 0.586 0.539 0.389 1
Ni1 Ni 0.029 0.303 0.761 1
Ni2 Ni 0.498 0.377 0.172 1
O1 O 0.216 0.619 0.047 1
O2 O 0.227 0.538 0.714 1
O3 O 0.264 0.113 0.634 1
O4 O 0.273 0.220 0.270 1
O5 O 0.686 0.584 0.180 1
O6 O 0.765 0.520 0.863 1
O7 O 0.806 0.074 0.173 1
O8 O 0.844 0.072 0.807 1
F1 F 0.199 0.702 0.382 1
F2 F 0.325 0.091 0.995 1
F3 F 0.686 0.697 0.509 1
F4 F 0.746 0.180 0.485 1
```

* N(E_F): 9.516 states/eV/cell

=====

Compound: Li6NiOF6
Source: Alexandria
Functional: PBEsol
Structure: optimized geometry

```
data_Li6NiOF6
_chemical_formula_sum 'Li12 Ni2 O2 F12'
_space_group_name_H-M_alt 'I 4/m m m'
_space_group_IT_number 139
_space_group_name_Hall '-I 4 2'
_cell_length_a 2.819
_cell_length_b 2.819
_cell_length_c 28.695
_cell_angle_alpha 90.00
_cell_angle_beta 90.00
_cell_angle_gamma 90.00
loop_
_atom_site_label
_atom_site_type_symbol
_atom_site_fract_x
_atom_site_fract_y
_atom_site_fract_z
_atom_site_occupancy
Li1 Li 0.000 0.000 0.074 1
Li2 Li 0.000 0.000 0.215 1
Li3 Li 0.000 0.000 0.354 1
Ni1 Ni 0.000 0.000 0.500 1
O1 O 0.000 0.000 0.000 1
F1 F 0.000 0.000 0.145 1
F2 F 0.000 0.000 0.285 1
F3 F 0.000 0.000 0.424 1
```

* energy relative to the lowest polymorph listed for this composition: 0 meV/atom
* N(E_F): 4.446 states/eV/cell

=====

Compound: Li3Ni2OF5
Source: Alexandria
Functional: PBEsol
Structure: optimized geometry

```
data_Li3Ni2OF5
_chemical_formula_sum 'Li24 Ni16 O8 F40'
_space_group_name_H-M_alt 'F 2 2 2'
_space_group_IT_number 22
_space_group_name_Hall 'F 2 2'
_cell_length_a 5.757
_cell_length_b 8.228
_cell_length_c 17.206
_cell_angle_alpha 90.00
_cell_angle_beta 90.00
_cell_angle_gamma 90.00
loop_
_atom_site_label
_atom_site_type_symbol
_atom_site_fract_x
_atom_site_fract_y
_atom_site_fract_z
_atom_site_occupancy
Li1 Li 0.000 0.000 0.000 1
Li2 Li 0.000 0.000 0.322 1
Li3 Li 0.250 0.250 0.250 1
Li4 Li 0.250 0.250 0.584 1
Ni1 Ni 0.000 0.000 0.500 1
Ni2 Ni 0.250 0.250 0.076 1
Ni3 Ni 0.250 0.250 0.750 1
O1 O 0.000 0.239 0.500 1
F1 F 0.005 0.234 0.333 1
F2 F 0.249 0.001 0.082 1
F3 F 0.250 0.010 0.750 1
```

* N(E_F): 26.817 states/eV/cell

=====

Compound: LiNi7O7F
Source: Alexandria
Functional: PBEsol
Structure: optimized geometry

```
data_LiNi7O7F
_chemical_formula_sum 'Li1 Ni7 O7 F1'
_space_group_name_H-M_alt 'P 1 m 1'
_space_group_IT_number 6
_cell_length_a 5.036
_cell_length_b 2.905
_cell_length_c 9.634
_cell_angle_alpha 90.00
_cell_angle_beta 99.52
_cell_angle_gamma 90.00
loop_
_space_group_symop_operation_xyz
'x,y,z'
'x,-y,z'
loop_
_atom_site_label
_atom_site_type_symbol
_atom_site_fract_x
_atom_site_fract_y
_atom_site_fract_z
_atom_site_occupancy
Li1 Li 0.000 0.000 0.000 1
Ni1 Ni 0.003 0.500 0.485 1
Ni2 Ni 0.253 0.500 0.231 1
Ni3 Ni 0.261 0.000 0.730 1
Ni4 Ni 0.504 0.000 0.484 1
Ni5 Ni 0.522 0.500 0.992 1
Ni6 Ni 0.739 0.500 0.736 1
Ni7 Ni 0.760 0.000 0.235 1
O1 O 0.132 0.000 0.362 1
O2 O 0.376 0.500 0.607 1
O3 O 0.389 0.000 0.113 1
O4 O 0.610 0.000 0.859 1
O5 O 0.628 0.500 0.363 1
O6 O 0.877 0.500 0.121 1
O7 O 0.884 0.000 0.617 1
F1 F 0.111 0.500 0.873 1
```

=====

Compound: Li8NiO5F
Source: Alexandria
Functional: PBEsol
Structure: optimized geometry

```
data_Li8NiO5F
_chemical_formula_sum 'Li8 Ni1 O5 F1'
_space_group_name_H-M_alt 'P 1'
_space_group_IT_number 1
_cell_length_a 5.237
_cell_length_b 5.240
_cell_length_c 5.682
_cell_angle_alpha 90.95
_cell_angle_beta 116.31
_cell_angle_gamma 113.81
loop_
_space_group_symop_operation_xyz
'x,y,z'
loop_
_atom_site_label
_atom_site_type_symbol
_atom_site_fract_x
_atom_site_fract_y
_atom_site_fract_z
_atom_site_occupancy
Li1 Li 0.000 0.000 0.000 1
Li2 Li 0.049 0.159 0.647 1
Li3 Li 0.178 0.428 0.350 1
Li4 Li 0.408 0.865 0.650 1
Li5 Li 0.522 0.100 0.338 1
Li6 Li 0.612 0.320 0.971 1
Li7 Li 0.692 0.527 0.636 1
Li8 Li 0.850 0.730 0.327 1
Ni1 Ni 0.233 0.597 0.962 1
O1 O 0.097 0.837 0.742 1
O2 O 0.144 0.737 0.216 1
O3 O 0.397 0.522 0.745 1
O4 O 0.439 0.407 0.214 1
O5 O 0.783 0.221 0.750 1
F1 F 0.825 0.077 0.259 1
```

* energy relative to the lowest polymorph listed for this composition: 0 meV/atom

=====

Compound: Li4Ni3O3F4
Source: Alexandria
Functional: PBEsol
Structure: optimized geometry

```
data_Li4Ni3O3F4
_chemical_formula_sum 'Li8 Ni6 O6 F8'
_space_group_name_H-M_alt 'I 4/m m m'
_space_group_IT_number 139
_space_group_name_Hall '-I 4 2'
_cell_length_a 2.840
_cell_length_b 2.840
_cell_length_c 29.083
_cell_angle_alpha 90.00
_cell_angle_beta 90.00
_cell_angle_gamma 90.00
loop_
_atom_site_label
_atom_site_type_symbol
_atom_site_fract_x
_atom_site_fract_y
_atom_site_fract_z
_atom_site_occupancy
Li1 Li 0.000 0.000 0.146 1
Li2 Li 0.000 0.000 0.284 1
Ni1 Ni 0.000 0.000 0.000 1
Ni2 Ni 0.000 0.000 0.429 1
O1 O 0.000 0.000 0.072 1
O2 O 0.000 0.000 0.500 1
F1 F 0.000 0.000 0.216 1
F2 F 0.000 0.000 0.352 1
```

* N(E_F): 9.161 states/eV/cell

=====

Compound: Li4Ni3O2F6
Source: Alexandria
Functional: PBEsol
Structure: optimized geometry

```
data_Li4Ni3O2F6
_chemical_formula_sum 'Li4 Ni3 O2 F6'
_space_group_name_H-M_alt 'P -1'
_space_group_IT_number 2
_cell_length_a 5.030
_cell_length_b 5.045
_cell_length_c 5.810
_cell_angle_alpha 89.68
_cell_angle_beta 72.95
_cell_angle_gamma 80.19
loop_
_space_group_symop_operation_xyz
'x,y,z'
'-x,-y,-z'
loop_
_atom_site_label
_atom_site_type_symbol
_atom_site_fract_x
_atom_site_fract_y
_atom_site_fract_z
_atom_site_occupancy
Li1 Li 0.012 0.241 0.368 1
Li2 Li 0.015 0.265 0.874 1
Ni1 Ni 0.498 0.499 0.239 1
Ni2 Ni 0.500 0.000 0.000 1
O1 O 0.274 0.361 0.057 1
F1 F 0.224 0.869 0.308 1
F2 F 0.237 0.871 0.825 1
F3 F 0.241 0.401 0.566 1
```

* N(E_F): 1.495 states/eV/cell

=====

Compound: Li5NiO3F2
Source: Alexandria
Functional: PBEsol
Structure: optimized geometry

```
data_Li5NiO3F2
_chemical_formula_sum 'Li10 Ni2 O6 F4'
_space_group_name_H-M_alt 'C 1 2/m 1'
_space_group_IT_number 12
_cell_length_a 9.203
_cell_length_b 3.836
_cell_length_c 5.784
_cell_angle_alpha 90.00
_cell_angle_beta 108.53
_cell_angle_gamma 90.00
loop_
_space_group_symop_operation_xyz
'x,y,z'
'-x,-y,-z'
'-x,y,-z'
'x,-y,z'
'x+1/2,y+1/2,z'
'-x+1/2,-y+1/2,-z'
'-x+1/2,y+1/2,-z'
'x+1/2,-y+1/2,z'
loop_
_atom_site_label
_atom_site_type_symbol
_atom_site_fract_x
_atom_site_fract_y
_atom_site_fract_z
_atom_site_occupancy
Li1 Li 0.000 0.000 0.000 1
Li2 Li 0.175 0.500 0.375 1
Li3 Li 0.195 0.500 0.804 1
Ni1 Ni 0.000 0.000 0.500 1
O1 O 0.000 0.500 0.500 1
O2 O 0.139 0.000 0.322 1
F1 F 0.175 0.000 0.848 1
```

* N(E_F): 7.235 states/eV/cell

=====

Compound: Li3Ni8O4F12
Source: Alexandria
Functional: PBEsol
Structure: optimized geometry

```
data_Li3Ni8O4F12
_chemical_formula_sum 'Li6 Ni16 O8 F24'
_space_group_name_H-M_alt 'C 1 2/m 1'
_space_group_IT_number 12
_cell_length_a 10.730
_cell_length_b 5.570
_cell_length_c 10.547
_cell_angle_alpha 90.00
_cell_angle_beta 116.12
_cell_angle_gamma 90.00
loop_
_space_group_symop_operation_xyz
'x,y,z'
'-x,-y,-z'
'-x,y,-z'
'x,-y,z'
'x+1/2,y+1/2,z'
'-x+1/2,-y+1/2,-z'
'-x+1/2,y+1/2,-z'
'x+1/2,-y+1/2,z'
loop_
_atom_site_label
_atom_site_type_symbol
_atom_site_fract_x
_atom_site_fract_y
_atom_site_fract_z
_atom_site_occupancy
Li1 Li 0.000 0.000 0.000 1
Li2 Li 0.197 0.000 0.578 1
Ni1 Ni 0.015 0.247 0.750 1
Ni2 Ni 0.243 0.000 0.258 1
Ni3 Ni 0.250 0.250 0.000 1
O1 O 0.139 0.000 0.891 1
O2 O 0.163 0.500 0.867 1
F1 F 0.098 0.236 0.145 1
F2 F 0.110 0.500 0.368 1
F3 F 0.123 0.248 0.640 1
F4 F 0.129 0.000 0.375 1
```

* N(E_F): 30.033 states/eV/cell

=====

Compound: Li5NiO3F
Source: Alexandria
Functional: PBEsol
Structure: optimized geometry

```
data_Li5NiO3F
_chemical_formula_sum 'Li20 Ni4 O12 F4'
_space_group_name_H-M_alt 'C 1 2/m 1'
_space_group_IT_number 12
_cell_length_a 9.148
_cell_length_b 8.971
_cell_length_c 4.663
_cell_angle_alpha 90.00
_cell_angle_beta 103.51
_cell_angle_gamma 90.00
loop_
_space_group_symop_operation_xyz
'x,y,z'
'-x,-y,-z'
'-x,y,-z'
'x,-y,z'
'x+1/2,y+1/2,z'
'-x+1/2,-y+1/2,-z'
'-x+1/2,y+1/2,-z'
'x+1/2,-y+1/2,z'
loop_
_atom_site_label
_atom_site_type_symbol
_atom_site_fract_x
_atom_site_fract_y
_atom_site_fract_z
_atom_site_occupancy
Li1 Li 0.128 0.210 0.383 1
Li2 Li 0.130 0.303 0.873 1
Li3 Li 0.139 0.000 0.883 1
Ni1 Ni 0.128 0.500 0.375 1
O1 O 0.000 0.360 0.500 1
O2 O 0.247 0.354 0.253 1
F1 F 0.000 0.147 0.000 1
```

=====

Compound: LiNiPO4F
Source: Alexandria
Functional: PBEsol
Structure: optimized geometry

```
data_LiNiPO4F
_chemical_formula_sum 'Li2 Ni2 P2 O8 F2'
_space_group_name_H-M_alt 'P -1'
_space_group_IT_number 2
_cell_length_a 5.094
_cell_length_b 5.142
_cell_length_c 7.026
_cell_angle_alpha 108.77
_cell_angle_beta 106.49
_cell_angle_gamma 98.54
loop_
_space_group_symop_operation_xyz
'x,y,z'
'-x,-y,-z'
loop_
_atom_site_label
_atom_site_type_symbol
_atom_site_fract_x
_atom_site_fract_y
_atom_site_fract_z
_atom_site_occupancy
Li1 Li 0.073 0.429 0.300 1
Ni1 Ni 0.000 0.000 0.500 1
Ni2 Ni 0.500 0.500 0.000 1
P1 P 0.448 0.114 0.261 1
O1 O 0.224 0.782 0.618 1
O2 O 0.297 0.167 0.427 1
O3 O 0.344 0.808 0.093 1
O4 O 0.355 0.330 0.159 1
F1 F 0.134 0.323 0.769 1
```

* N(E_F): 4.107 states/eV/cell

=====

Compound: Li2NiPO4F
Source: Alexandria
Functional: PBEsol
Structure: optimized geometry

```
data_Li2NiPO4F
_chemical_formula_sum 'Li8 Ni4 P4 O16 F4'
_space_group_name_H-M_alt 'C 1 2 1'
_space_group_IT_number 5
_cell_length_a 7.162
_cell_length_b 7.705
_cell_length_c 7.284
_cell_angle_alpha 90.00
_cell_angle_beta 118.48
_cell_angle_gamma 90.00
loop_
_space_group_symop_operation_xyz
'x,y,z'
'-x,y,-z'
'x+1/2,y+1/2,z'
'-x+1/2,y+1/2,-z'
loop_
_atom_site_label
_atom_site_type_symbol
_atom_site_fract_x
_atom_site_fract_y
_atom_site_fract_z
_atom_site_occupancy
Li1 Li 0.127 0.000 0.406 1
Li2 Li 0.194 0.369 0.191 1
Ni1 Ni 0.002 0.652 0.753 1
P1 P 0.000 0.001 0.000 1
P2 P 0.000 0.302 0.500 1
O1 O 0.077 0.889 0.874 1
O2 O 0.085 0.420 0.385 1
O3 O 0.181 0.177 0.642 1
O4 O 0.182 0.116 0.162 1
F1 F 0.000 0.529 0.000 1
F2 F 0.000 0.791 0.500 1
```

=====

| no. | magnetization (μB per atom) | calculated total energy (eV per atom) |
| --- | --- | --- |
| 1 | 0.053 | -5.757 |
| 2 | 0.202 | -5.130 |
| 3 | 0.072 | -5.145 |
| 4 | 0.099 | -5.072 |
| 5 | 0.303 | -5.061 |
| 6 | 0.117 | -6.067 |
| 7 | 0.069 | -5.140 |
| 8 | 0.162 | -5.432 |
| 9 | 0.403 | -5.184 |
| 10 | 0.096 | -5.169 |
| 11 | 0.475 | -5.258 |
| 12 | 0.000 | -5.224 |
| 13 | 0.127 | -6.479 |
| 14 | 0.222 | -6.370 |